1.
Entry from Alexandria via LeMat-Bulk: crystalline GdTlF2 at its relaxed geometry (PBE).

a b c (Å): 7.955 7.955 7.955
angles (deg): 29.04 29.04 29.04
Fractional positions:
Gd 0.000 0.000 0.000
Tl 0.500 0.500 0.500
F 0.096 0.096 0.096
F 0.904 0.904 0.904

* uncorrected formation energy: -2.09 eV/atom
* crystal system: trigonal
* magnetization: 7.1 Bohr magnetons per cell
* volume: 105 Å³ per cell
* uncorrected energy: -7.134 eV per atom
* DOS(E_F): 0.8782 states/eV/atom
* calculated density: 6.3 Mg/m³

2.
Entry from Alexandria via LeMat-Bulk: crystalline Ho4GeSe2 at its relaxed geometry (PBE).

a b c (Å): 6.793 6.793 13.556
angles (deg): 90.00 90.00 145.52
Fractional positions:
Ho 0.000 0.000 0.000
Ho 0.000 0.000 0.500
Ho 0.281 0.719 0.628
Ho 0.281 0.719 0.872
Ho 0.448 0.552 0.250
Ho 0.552 0.448 0.750
Ho 0.719 0.281 0.128
Ho 0.719 0.281 0.372
Ge 0.106 0.894 0.250
Ge 0.894 0.106 0.750
Se 0.360 0.640 0.063
Se 0.360 0.640 0.437
Se 0.640 0.360 0.563
Se 0.640 0.360 0.937

* uncorrected formation energy: -1.25 eV/atom
* crystal system: orthorhombic
* magnetization: 0.0 Bohr magnetons per cell
* volume: 354 Å³ per cell
* uncorrected energy: -5.519 eV per atom
* DOS(E_F): 0.6346 states/eV/atom
* calculated density: 8.4 Mg/m³

3.
Entry from Alexandria via LeMat-Bulk: crystalline TiB2Se6 at its relaxed geometry (PBE).

a b c (Å): 7.917 7.917 6.426
angles (deg): 96.76 96.76 79.27
Fractional positions:
Ti 0.124 0.876 0.750
Ti 0.876 0.124 0.250
B 0.211 0.345 0.638
B 0.345 0.211 0.138
B 0.655 0.789 0.862
B 0.789 0.655 0.362
Se 0.041 0.175 0.605
Se 0.106 0.571 0.807
Se 0.175 0.041 0.105
Se 0.268 0.420 0.354
Se 0.420 0.268 0.854
Se 0.429 0.894 0.693
Se 0.571 0.106 0.307
Se 0.580 0.732 0.146
Se 0.732 0.580 0.646
Se 0.825 0.959 0.895
Se 0.894 0.429 0.193
Se 0.959 0.825 0.395

* uncorrected formation energy: -0.28 eV/atom
* crystal system: monoclinic
* magnetization: 0.0 Bohr magnetons per cell
* volume: 391 Å³ per cell
* uncorrected energy: -4.967 eV per atom
* DOS(E_F): 0.1482 states/eV/atom
* calculated density: 4.6 Mg/m³

4.
Entry from Alexandria via LeMat-Bulk: crystalline As2Ir at its relaxed geometry (PBE).

a b c (Å): 5.136 5.136 5.136
angles (deg): 108.20 108.20 112.05
Fractional positions:
As 0.159 0.659 0.818
As 0.341 0.159 0.500
As 0.659 0.841 0.500
As 0.841 0.341 0.182
Ir 0.250 0.250 0.000
Ir 0.750 0.750 0.000

* crystal system: tetragonal
* magnetization: 0.0 Bohr magnetons per cell
* ΔE_f: 0.069 eV per atom
* volume: 104 Å³ per cell
* uncorrected energy: -5.985 eV per atom
* DOS(E_F): 0.7348 states/eV/atom
* calculated density: 10.9 Mg/m³

5.
Entry from Alexandria via LeMat-Bulk: crystalline NaCoSe at its relaxed geometry (PBE).

a b c (Å): 3.993 3.993 6.900
angles (deg): 90.00 90.00 90.00
Fractional positions:
Na 0.250 0.250 0.158
Na 0.750 0.750 0.842
Co 0.250 0.750 0.500
Co 0.750 0.250 0.500
Se 0.250 0.250 0.708
Se 0.750 0.750 0.292

* uncorrected formation energy: -0.41 eV/atom
* crystal system: tetragonal
* magnetization: 4.0 Bohr magnetons per cell
* volume: 110 Å³ per cell
* uncorrected energy: -4.379 eV per atom
* DOS(E_F): 0.5684 states/eV/atom
* calculated density: 4.9 Mg/m³

6.
Entry from Alexandria via LeMat-Bulk: crystalline Ca3LaZr at its relaxed geometry (PBE).

a b c (Å): 5.784 5.784 5.784
angles (deg): 90.00 90.00 90.00
Fractional positions:
Ca 0.000 0.000 0.500
Ca 0.000 0.500 0.000
Ca 0.500 0.000 0.000
La 0.500 0.500 0.500
Zr 0.000 0.000 0.000

* crystal system: cubic
* magnetization: 0.0 Bohr magnetons per cell
* ΔE_f: 0.721 eV per atom
* volume: 194 Å³ per cell
* uncorrected energy: -3.175 eV per atom
* DOS(E_F): 1.3561 states/eV/atom
* calculated density: 3.0 Mg/m³

The highest uncorrected energy belongs to which entry?
Ca3LaZr

Number 4 is which compound?
As2Ir